(1)
8
Lattice="-2.1138 -2.0486 -2.4984 4.6889 -4.7796 -0.0482 -4.4847 -1.3411 4.8940" Properties=species:S:1:pos:R:3 comment="HoHfU2P4 PBE relaxed" formation_energy_kj_per_mol_atoms=-117.89 m_tot_mub_per_fu=4.24 dft_energy_ev_per_atom=-8.5652 pbc="T T T"
U 0.1021 -3.0603 2.4229
U -3.2993 -1.6948 1.1978
P -0.8941 -5.6829 2.4327
Ho 1.2875 -3.4141 -1.2733
P -2.2449 -2.1706 3.6791
P -1.0156 -2.4863 -0.0854
Hf 0.0000 0.0000 0.0000
P 2.4491 -3.9500 1.1667

=====

(2)
8
Lattice="3.8832 0.0000 0.0000 0.0000 6.7140 0.1252 0.0000 -2.3379 6.3459" Properties=species:S:1:pos:R:3 comment="Ho2HfUP4 PBE relaxed" formation_energy_kj_per_mol_atoms=-131.63 m_tot_mub_per_fu=2.09 dft_energy_ev_per_atom=-7.8688 pbc="T T T"
Ho 0.0000 2.1881 3.2356
Ho 1.9416 -1.1690 3.1730
Hf 0.0000 0.0000 0.0000
P 1.9416 1.0604 1.5242
P 0.0000 4.4979 1.6226
P 1.9416 3.3157 4.9469
P 0.0000 -0.1218 4.8485
U 1.9416 3.3570 0.0626

=====

(3)
8
Lattice="-3.1201 -0.7743 -2.2279 3.8270 -3.9253 -3.9953 -2.6268 -3.7755 4.9909" Properties=species:S:1:pos:R:3 comment="Y2HoHfP4 PBE relaxed" formation_energy_kj_per_mol_atoms=-148.61 m_tot_mub_per_fu=0.00 dft_energy_ev_per_atom=-7.6776 pbc="T T T"
Hf 0.0000 0.0000 0.0000
Y 0.6001 -3.8504 0.4978
P -0.6469 -6.2698 -0.3482
P -1.2729 -2.2053 -0.8841
Y -2.8734 -2.2749 1.3815
Ho 0.3535 -2.3498 -3.1116
P -1.0606 -3.8212 2.8134
P 2.2609 -3.8796 -1.8179

=====

(4)
8
Lattice="-1.5739 -3.0211 1.9087 0.3082 -3.7286 -5.6476 5.7417 -0.7772 3.5044" Properties=species:S:1:pos:R:3 comment="YHo2HfP4 PBE relaxed" formation_energy_kj_per_mol_atoms=-148.15 m_tot_mub_per_fu=0.00 dft_energy_ev_per_atom=-7.4370 pbc="T T T"
P 1.6364 -3.0165 -3.4253
Y -0.6329 -3.3749 -1.8695
Hf 0.0000 0.0000 0.0000
P 3.8236 -4.9485 -0.6854
Ho 3.0249 -2.2529 -1.0716
P 4.4135 -1.4893 1.2821
Ho 2.0839 -1.8992 2.7066
P 0.6523 -2.5785 0.4509

=====

(5)
4
Lattice="3.4072 0.0000 0.0000 1.7036 2.9507 0.0000 1.7036 0.9836 11.6070" Properties=species:S:1:pos:R:3 comment="Ho2HfPb PBE relaxed" formation_energy_kj_per_mol_atoms=10.87 m_tot_mub_per_fu=0.00 dft_energy_ev_per_atom=-5.5917 pbc="T T T"
Ho 5.1108 2.9507 3.2118
Pb 0.0000 0.0000 0.0000
Hf 3.4072 1.9672 5.8035
Ho 1.7036 0.9836 8.3952

=====

(6)
6
Lattice="-1.7929 -0.9717 3.2505 1.0148 -3.6618 -0.5350 9.3433 1.7595 5.6795" Properties=species:S:1:pos:R:3 comment="HoHfPb PBE relaxed" formation_energy_kj_per_mol_atoms=0.09 m_tot_mub_per_fu=0.00 dft_energy_ev_per_atom=-6.0790 pbc="T T T"
Ho 2.6550 -1.4265 1.0380
Hf 9.3118 -0.1729 5.0844
Ho 6.2993 0.8692 5.9993
Hf -0.3575 -0.3844 1.9529
Pb 2.9798 0.2441 3.9815
Pb 5.9744 -0.8013 3.0557